Model 1:
An optimized crystal structure of SrSc2Te4, computed with GGA-PBE.

Lattice parameters (Å, degrees): 13.289 4.258 15.459 90.00 90.00 90.00
Sites, in units of the cell vectors:
Sr 0.238 0.250 0.173
Sr 0.262 0.750 0.673
Sr 0.738 0.250 0.327
Sr 0.762 0.750 0.827
Sc 0.054 0.250 0.388
Sc 0.084 0.250 0.906
Sc 0.416 0.750 0.406
Sc 0.446 0.750 0.888
Sc 0.554 0.250 0.112
Sc 0.584 0.250 0.594
Sc 0.916 0.750 0.094
Sc 0.946 0.750 0.612
Te 0.032 0.750 0.786
Te 0.093 0.250 0.574
Te 0.125 0.750 0.032
Te 0.202 0.750 0.343
Te 0.298 0.250 0.843
Te 0.375 0.250 0.532
Te 0.407 0.750 0.074
Te 0.468 0.250 0.286
Te 0.532 0.750 0.714
Te 0.593 0.250 0.926
Te 0.625 0.750 0.468
Te 0.702 0.750 0.157
Te 0.798 0.250 0.657
Te 0.875 0.250 0.968
Te 0.907 0.750 0.426
Te 0.968 0.250 0.214

Computed properties:
For the size of the total moment, the calculation gives 0.000 μB per formula unit.

***

Model 2:
An optimized crystal structure of SrSc2Te4, computed with GGA-PBE.

Lattice parameters (Å, degrees): 7.285 7.285 14.715 90.00 90.00 145.87
Sites, in units of the cell vectors:
Sr 0.113 0.887 0.750
Sr 0.887 0.113 0.250
Sc 0.366 0.634 0.567
Sc 0.366 0.634 0.933
Sc 0.634 0.366 0.067
Sc 0.634 0.366 0.433
Te 0.000 0.000 0.000
Te 0.000 0.000 0.500
Te 0.270 0.730 0.111
Te 0.270 0.730 0.389
Te 0.436 0.564 0.750
Te 0.564 0.436 0.250
Te 0.730 0.270 0.611
Te 0.730 0.270 0.889

Computed properties:
For the size of the total moment, the calculation gives 0.000 μB per formula unit.

***

The most stable of them is model 1.